No. 1
Tb2NdCu | PBE-GGA | relaxed

The structure belongs to space group R3m (No. 160, hexagonal axes); the cell edges are 3.6955, 3.6955 and 29.4173 Å and the angles 90.00°, 90.00° and 120.00°. The distinct sites, in fractional coordinates, are Tb at (0.0000, 0.0000, 0.0000), Tb at (0.0000, 0.0000, 0.2022), Nd at (0.0000, 0.0000, 0.7670) and Cu at (0.0000, 0.0000, 0.6017).

The calculated total energy is -18.0 eV per formula unit. The value obtained for the distance to the lowest polymorph of the same formula is 0.53 eV per formula unit.

No. 2
Tb5NdCu4 | PBE-GGA | relaxed

The structure belongs to space group P4/mmm (No. 123); the cell edges are 3.491, 3.491 and 19.329 Å and the angles 90.00°, 90.00° and 90.00°. The distinct sites, in fractional coordinates, are Tb at (0.000, 0.000, 0.000), Tb at (0.000, 0.000, 0.181), Tb at (0.000, 0.000, 0.360), Nd at (0.500, 0.500, 0.500), Cu at (0.500, 0.500, 0.091) and Cu at (0.500, 0.500, 0.271).

The calculated total energy is -46.2 eV per formula unit.

No. 3
TbNdCu4 | PBE-GGA | relaxed

The structure belongs to space group Imm2 (No. 44); the cell edges are 4.323, 7.011 and 7.415 Å and the angles 90.00°, 90.00° and 90.00°. The distinct sites, in fractional coordinates, are Tb at (0.000, 0.000, 0.000), Nd at (0.000, 0.500, 0.080), Cu at (0.000, 0.203, 0.372) and Cu at (0.000, 0.303, 0.702).

The calculated total energy is -27.2 eV per formula unit. The value obtained for the distance to the lowest polymorph of the same formula is 0.00 eV per formula unit.

No. 4
Tb2NdCu2 | PBE-GGA | relaxed

The structure belongs to space group P2_1/m (No. 11); the cell edges are 5.002, 4.684 and 10.841 Å and the angles 90.00°, 96.90° and 90.00°. The distinct sites, in fractional coordinates, are Tb at (0.155, 0.250, 0.115), Tb at (0.251, 0.750, 0.506), Nd at (0.308, 0.250, 0.756), Cu at (0.215, 0.250, 0.366) and Cu at (0.377, 0.750, 0.995).

The calculated total energy is -22.7 eV per formula unit. The value obtained for the distance to the lowest polymorph of the same formula is 0.12 eV per formula unit.

No. 5
Tb2NdCu | PBE-GGA | relaxed

The structure belongs to space group Cmcm (No. 63); the cell edges are 4.963, 11.797 and 7.557 Å and the angles 90.00°, 90.00° and 90.00°. The distinct sites, in fractional coordinates, are Tb at (0.000, 0.149, 0.030), Nd at (0.000, 0.452, 0.250) and Cu at (0.000, 0.299, 0.750).

The calculated total energy is -18.4 eV per formula unit. The value obtained for the distance to the lowest polymorph of the same formula is 0.14 eV per formula unit.

No. 6
TbNdCu | PBE-GGA | relaxed

The structure belongs to space group I4mm (No. 107); the cell edges are 3.543, 3.543 and 12.564 Å and the angles 90.00°, 90.00° and 90.00°. The distinct sites, in fractional coordinates, are Tb at (0.000, 0.000, 0.000), Nd at (0.000, 0.000, 0.721) and Cu at (0.000, 0.000, 0.374).

The calculated total energy is -13.8 eV per formula unit. The value obtained for the distance to the lowest polymorph of the same formula is 0.01 eV per formula unit.

No. 7
Tb5NdCu6 | PBE-GGA | relaxed

The structure belongs to space group Cmmm (No. 65); the cell edges are 4.972, 14.938 and 6.946 Å and the angles 90.00°, 90.00° and 90.00°. The distinct sites, in fractional coordinates, are Tb at (0.000, 0.000, 0.000), Tb at (0.000, 0.332, 0.500), Tb at (0.000, 0.334, 0.000), Nd at (0.000, 0.000, 0.500), Cu at (0.000, 0.170, 0.247) and Cu at (0.000, 0.500, 0.240).

The calculated total energy is -55.2 eV per formula unit.

No. 8
TbNd2Cu9 | PBE-GGA | relaxed

The structure belongs to space group R-3m (No. 166, hexagonal axes); the cell edges are 5.2024, 5.2024 and 25.4043 Å and the angles 90.00°, 90.00° and 120.00°. The distinct sites, in fractional coordinates, are Tb at (0.0000, 0.0000, 0.0000), Nd at (0.0000, 0.0000, 0.1409), Cu at (0.0000, 0.0000, 0.3319), Cu at (0.0000, 0.0000, 0.5000) and Cu at (0.0033, 0.5017, 0.0798).

The calculated total energy is -52.8 eV per formula unit.

Number 1: ΔE_f 0.0343 eV/atom. Number 2: ΔE_f -0.1866 eV/atom. Number 3: ΔE_f -0.2355 eV/atom. Number 4: ΔE_f -0.1056 eV/atom. Number 5: ΔE_f -0.0611 eV/atom. Number 6: ΔE_f -0.0975 eV/atom. Number 7: ΔE_f -0.2229 eV/atom. Number 8: ΔE_f -0.1490 eV/atom.